Material: LuFeSiTc
Method: DFT, PBE
State: relaxed

abc: 6.182 6.182 6.182
angles: 90.00 90.00 90.00
Space group F-43m (No. 216)
Unique sites:
Lu  0.000  0.000  0.000 x4
Fe  0.250  0.250  0.750 x4
Si  0.000  0.000  0.500 x4
Tc  0.250  0.250  0.250 x4

## Properties
Magnetization (μB per formula unit): 1.83
DFT total energy (eV/atom): -7.284